# PBE LiZrTlNi, optimized geometry
data_LiZrTlNi
_space_group_name_H-M_alt 'F -4 3 m'
_space_group_IT_number 216
_space_group_name_Hall 'F -4 2 3'
_cell_length_a 6.397
_cell_length_b 6.397
_cell_length_c 6.397
_cell_angle_alpha 90.00
_cell_angle_beta 90.00
_cell_angle_gamma 90.00
loop_
_atom_site_label
_atom_site_type_symbol
_atom_site_fract_x
_atom_site_fract_y
_atom_site_fract_z
Li1 Li 0.000 0.000 0.000
Zr1 Zr 0.250 0.250 0.750
Tl1 Tl 0.250 0.250 0.250
Ni1 Ni 0.000 0.000 0.500
# **E_tot**: -4.85 eV/atom
# **Density**: 9.2 g/cm3